# Mg14VZn

An optimized crystal structure of Mg14VZn (PBE-GGA, the Alexandria database).

Geometry as extended XYZ:
```
16
Lattice="3.128 -5.417 0.000 3.128 5.417 0.000 0.000 0.000 10.207" Properties=species:S:1:pos:R:3 pbc="T T T"
Mg 4.688 -2.706 0.000
Mg 1.571 2.704 5.103
Mg 1.567 -2.706 0.000
Mg 4.684 2.704 5.103
Mg 3.128 -0.004 0.000
Mg 3.128 0.009 5.103
Mg 3.128 3.656 2.564
Mg 3.128 3.656 7.643
Mg 1.525 0.881 2.564
Mg 1.525 0.881 7.643
Mg 4.730 0.881 2.564
Mg 4.730 0.881 7.643
Mg 3.128 -1.806 2.565
Mg 3.128 -1.806 7.641
V 0.000 0.000 5.103
Zn 0.000 0.000 0.000
```

Results
**Calculated formation energy**: 0.0663 eV per atom
**Energy**: -1.978 eV/atom
**Density**: 2.19 g cm⁻³

# MgZrV2

An optimized crystal structure of MgZrV2 (PBE-GGA, the Alexandria database).

Geometry as extended XYZ:
```
8
Lattice="-1.064 2.844 -2.414 -1.100 -2.638 -2.623 -9.962 0.016 1.295" Properties=species:S:1:pos:R:3 pbc="T T T"
Mg -1.082 0.103 -2.518
Mg -6.072 -1.259 -1.923
Zr 0.000 0.000 0.000
Zr -6.054 1.482 -1.818
V -3.308 1.491 -1.546
V -3.297 -1.328 -1.584
V -8.268 0.126 -0.881
V -9.381 0.156 -3.472
```

Results
**Calculated formation energy**: 0.7158 eV per atom
**Energy**: -6.379 eV/atom
**Density**: 4.97 g cm⁻³

# Mg14ZrV

An optimized crystal structure of Mg14ZrV (PBE-GGA, the Alexandria database).

Geometry as extended XYZ:
```
16
Lattice="-5.497 3.209 -0.171 1.089 -4.870 -3.955 -3.987 -6.465 6.864" Properties=species:S:1:pos:R:3 pbc="T T T"
Mg -4.402 1.865 -0.800
Mg -1.099 -2.187 -2.698
Mg -3.640 -3.018 2.678
Mg -1.640 0.257 -0.711
Mg -5.797 -3.831 0.659
Mg -3.859 -0.580 -2.788
Mg -1.571 -2.755 0.405
Mg -3.515 -5.907 3.752
Mg -3.769 -3.583 -1.652
Mg -5.713 -6.735 1.695
Mg -4.322 -1.075 0.299
Mg -6.314 -4.303 3.727
Mg -1.094 -5.174 -1.499
Mg -2.988 -8.244 1.760
Zr -6.370 -1.399 2.617
V -3.098 -5.412 0.738
```

Results
**Calculated formation energy**: 0.0808 eV per atom
**Polymorph energy (0 for the lowest one)**: 0 meV/atom
**Energy**: -2.419 eV/atom
**Density**: 2.25 g cm⁻³

# MgZr2V

An optimized crystal structure of MgZr2V (PBE-GGA, the Alexandria database).

Geometry as extended XYZ:
```
4
Lattice="-2.880 1.193 -1.499 0.039 -3.756 -3.065 -2.685 -2.569 3.114" Properties=species:S:1:pos:R:3 pbc="T T T"
Mg -1.440 0.597 -0.749
Zr -1.342 -1.284 1.557
Zr 0.019 -1.878 -1.532
V -2.763 -2.566 -0.725
```

Results
**Calculated formation energy**: 0.1644 eV per atom
**Energy**: -6.788 eV/atom
**Density**: 5.26 g cm⁻³

# MgZr2V2

An optimized crystal structure of MgZr2V2 (PBE-GGA, the Alexandria database).

Geometry as extended XYZ:
```
10
Lattice="7.272 0.000 0.000 0.000 7.272 0.000 0.000 0.000 3.647" Properties=species:S:1:pos:R:3 pbc="T T T"
Mg 0.000 0.000 0.000
Mg 3.636 3.636 0.000
Zr 1.266 4.902 1.823
Zr 4.902 6.005 1.823
Zr 6.005 2.370 1.823
Zr 2.370 1.266 1.823
V 2.791 6.427 0.000
V 6.427 4.481 0.000
V 4.481 0.845 0.000
V 0.845 2.791 0.000
```

Results
**Calculated formation energy**: 0.1800 eV per atom
**Energy**: -7.206 eV/atom
**Density**: 5.32 g cm⁻³

# MgZrV

An optimized crystal structure of MgZrV (PBE-GGA, the Alexandria database).

Geometry as extended XYZ:
```
6
Lattice="-1.232 0.261 -3.083 3.054 -0.426 -1.257 -1.685 -11.266 -0.281" Properties=species:S:1:pos:R:3 pbc="T T T"
Zr -0.971 -2.242 -1.600
Zr 0.197 -9.106 -0.850
Mg -1.615 -6.549 -1.708
Mg 0.841 -4.799 -0.743
V 0.911 -0.082 -2.170
V 0.000 0.000 0.000
```

Results
**Calculated formation energy**: 0.3403 eV per atom
**Energy**: -6.080 eV/atom
**Density**: 4.38 g cm⁻³

# Mg14ZrV

An optimized crystal structure of Mg14ZrV (PBE-GGA, the Alexandria database).

Geometry as extended XYZ:
```
16
Lattice="3.189 -5.524 0.000 3.189 5.524 0.000 0.000 0.000 10.111" Properties=species:S:1:pos:R:3 pbc="T T T"
Mg 1.636 2.738 0.000
Mg 4.778 -2.759 5.056
Mg 4.742 2.738 0.000
Mg 1.600 -2.759 5.056
Mg 3.189 0.048 0.000
Mg 3.189 -0.007 5.056
Mg 3.189 3.732 2.558
Mg 3.189 3.732 7.554
Mg 1.551 0.896 2.558
Mg 1.551 0.896 7.554
Mg 4.827 0.896 2.558
Mg 4.827 0.896 7.554
Mg 3.189 -1.841 2.438
Mg 3.189 -1.841 7.673
Zr 0.000 0.000 0.000
V 0.000 0.000 5.056
```

Results
**Calculated formation energy**: 0.0971 eV per atom
**Polymorph energy (0 for the lowest one)**: 16 meV/atom
**Energy**: -2.402 eV/atom
**Density**: 2.25 g cm⁻³

# MgZr2V

An optimized crystal structure of MgZr2V (PBE-GGA, the Alexandria database).

Geometry as extended XYZ:
```
4
Lattice="3.230 0.000 0.000 0.000 3.230 0.000 0.000 0.000 7.993" Properties=species:S:1:pos:R:3 pbc="T T T"
Mg 1.615 1.615 3.996
Zr 0.000 0.000 6.291
Zr 0.000 0.000 1.701
V 1.615 1.615 0.000
```

Results
**Calculated formation energy**: 0.0988 eV per atom
**Energy**: -6.854 eV/atom
**Density**: 5.13 g cm⁻³

# MgZr2V

An optimized crystal structure of MgZr2V (PBE-GGA, the Alexandria database).

Geometry as extended XYZ:
```
8
Lattice="-3.946 -0.383 -1.053 1.066 -0.088 -3.960 -0.576 -10.386 -2.050" Properties=species:S:1:pos:R:3 pbc="T T T"
Mg -1.440 -0.235 -2.507
Mg -0.475 -5.354 -4.258
Zr -2.520 -2.851 -1.677
Zr 0.072 -2.695 -3.108
Zr -1.524 -7.965 -3.374
Zr -2.941 -8.202 -5.968
V 0.000 0.000 0.000
V -2.981 -5.502 -2.805
```

Results
**Calculated formation energy**: 0.6952 eV per atom
**Energy**: -6.257 eV/atom
**Density**: 4.99 g cm⁻³

# MgZr2V

An optimized crystal structure of MgZr2V (PBE-GGA, the Alexandria database).

Geometry as extended XYZ:
```
4
Lattice="3.168 0.000 0.000 1.584 2.744 0.000 1.584 0.915 9.707" Properties=species:S:1:pos:R:3 pbc="T T T"
Mg 3.168 1.829 4.854
Zr 1.584 0.915 2.160
Zr 4.753 2.744 7.547
V 0.000 0.000 0.000
```

Results
**Calculated formation energy**: 0.2263 eV per atom
**Energy**: -6.726 eV/atom
**Density**: 5.07 g cm⁻³

# MgW2

An optimized crystal structure of MgW2 (PBE-GGA, the Alexandria database).

Geometry as extended XYZ:
```
6
Lattice="1.338 5.559 -0.011 -1.338 5.559 -0.011 0.000 1.513 6.818" Properties=species:S:1:pos:R:3 pbc="T T T"
Mg 0.000 8.302 2.391
Mg 0.000 4.328 4.404
W 0.000 1.355 4.715
W 0.000 8.540 6.711
W 0.000 4.090 0.085
W 0.000 11.275 2.080
```

Results
**Calculated formation energy**: 0.4925 eV per atom
**Polymorph energy (0 for the lowest one)**: 213 meV/atom
**Energy**: -8.675 eV/atom
**Density**: 12.83 g cm⁻³

# MgW3

An optimized crystal structure of MgW3 (PBE-GGA, the Alexandria database).

Geometry as extended XYZ:
```
16
Lattice="-3.191 -3.273 2.882 6.174 -0.296 6.501 -2.317 4.373 2.400" Properties=species:S:1:pos:R:3 pbc="T T T"
Mg -0.208 -0.122 9.475
Mg -0.723 -0.711 3.748
Mg 1.387 1.514 8.034
Mg 0.873 0.926 2.307
W -3.150 0.176 6.093
W -1.957 1.368 1.921
W 1.130 1.220 5.171
W -0.028 3.407 6.371
W 3.058 3.259 9.621
W 2.218 -1.008 7.130
W -1.554 1.812 4.652
W -4.711 1.919 4.561
W -1.624 1.770 7.812
W -0.466 -0.416 6.612
W 2.621 -0.565 9.862
W 3.814 0.628 5.689
```

Results
**Calculated formation energy**: 0.4564 eV per atom
**Polymorph energy (0 for the lowest one)**: 227 meV/atom
**Energy**: -9.657 eV/atom
**Density**: 14.35 g cm⁻³

# MgW

An optimized crystal structure of MgW (PBE-GGA, the Alexandria database).

Geometry as extended XYZ:
```
4
Lattice="-3.794 -6.795 6.474 -5.119 -7.709 4.105 -2.469 -8.617 4.705" Properties=species:S:1:pos:R:3 pbc="T T T"
Mg -5.730 -11.639 7.694
Mg -8.497 -17.261 11.411
W -11.359 -23.074 15.254
W -2.868 -5.826 3.851
```

Results
**Calculated formation energy**: 0.4165 eV per atom
**Polymorph energy (0 for the lowest one)**: 155 meV/atom
**Energy**: -6.857 eV/atom
**Density**: 9.74 g cm⁻³

# MgW

An optimized crystal structure of MgW (PBE-GGA, the Alexandria database).

Geometry as extended XYZ:
```
12
Lattice="9.852 0.000 0.000 -4.926 8.532 0.000 0.000 0.000 2.694" Properties=species:S:1:pos:R:3 pbc="T T T"
Mg 7.232 0.498 0.674
Mg 3.185 6.512 2.021
Mg 5.804 6.014 0.674
Mg -2.306 8.034 2.021
Mg 1.741 2.020 0.674
Mg -0.879 2.518 2.021
W 6.454 3.295 0.674
W 0.374 7.236 2.021
W 3.772 3.942 0.674
W -1.528 5.237 2.021
W 4.552 1.296 0.674
W 1.154 4.590 2.021
```

Results
**Calculated formation energy**: 0.6689 eV per atom
**Polymorph energy (0 for the lowest one)**: 408 meV/atom
**Energy**: -6.605 eV/atom
**Density**: 9.16 g cm⁻³

# MgW

An optimized crystal structure of MgW (PBE-GGA, the Alexandria database).

Geometry as extended XYZ:
```
16
Lattice="-2.357 -1.569 7.997 -2.692 -7.708 -2.306 4.172 -1.723 0.891" Properties=species:S:1:pos:R:3 pbc="T T T"
Mg -2.057 -8.156 5.732
Mg 1.180 -2.845 0.850
Mg -0.839 -8.027 0.277
Mg -0.038 -2.973 6.305
Mg -3.134 -4.099 6.743
Mg -1.914 -5.178 -1.052
Mg -4.089 -8.291 3.106
Mg -0.960 -0.986 2.585
W -0.801 -5.417 5.152
W -0.076 -5.584 1.430
W -1.152 -7.258 3.231
W 0.275 -3.743 3.351
W -3.286 -5.807 4.152
W -1.762 -3.470 1.539
W -2.787 -5.971 1.501
W -2.261 -3.306 4.190
```

Results
**Calculated formation energy**: 0.4931 eV per atom
**Polymorph energy (0 for the lowest one)**: 232 meV/atom
**Energy**: -6.781 eV/atom
**Density**: 8.35 g cm⁻³

# MgW2

An optimized crystal structure of MgW2 (PBE-GGA, the Alexandria database).

Geometry as extended XYZ:
```
6
Lattice="1.340 -7.932 0.000 1.340 7.932 0.000 0.000 0.000 4.705" Properties=species:S:1:pos:R:3 pbc="T T T"
Mg 1.340 1.856 3.529
Mg 1.340 -1.856 1.176
W 1.340 -3.384 3.529
W 1.340 -7.184 1.176
W 1.340 7.184 3.529
W 1.340 3.384 1.176
```

Results
**Calculated formation energy**: 0.4158 eV per atom
**Polymorph energy (0 for the lowest one)**: 137 meV/atom
**Energy**: -8.751 eV/atom
**Density**: 13.01 g cm⁻³

# MgW

An optimized crystal structure of MgW (PBE-GGA, the Alexandria database).

Geometry as extended XYZ:
```
8
Lattice="5.373 0.000 0.000 0.000 5.373 0.000 0.000 0.000 5.447" Properties=species:S:1:pos:R:3 pbc="T T T"
Mg 0.950 4.423 0.000
Mg 3.637 3.637 2.724
Mg 1.736 1.736 2.724
Mg 4.423 0.950 0.000
W 1.834 1.834 0.000
W 4.521 0.852 2.724
W 0.852 4.521 2.724
W 3.539 3.539 0.000
```

Results
**Calculated formation energy**: 1.4748 eV per atom
**Polymorph energy (0 for the lowest one)**: 1214 meV/atom
**Energy**: -5.799 eV/atom
**Density**: 8.79 g cm⁻³

# Mg2W

An optimized crystal structure of Mg2W (PBE-GGA, the Alexandria database).

Geometry as extended XYZ:
```
12
Lattice="2.691 0.000 0.000 0.000 4.399 0.000 0.000 0.000 20.882" Properties=species:S:1:pos:R:3 pbc="T T T"
Mg 0.000 1.100 0.771
Mg 0.000 1.100 3.732
Mg 0.000 3.299 17.150
Mg 0.000 3.299 20.111
Mg 1.346 1.100 6.709
Mg 1.346 1.100 9.670
Mg 1.346 3.299 11.212
Mg 1.346 3.299 14.173
W 0.000 1.100 12.613
W 0.000 3.299 8.268
W 1.346 1.100 18.709
W 1.346 3.299 2.173
```

Results
**Calculated formation energy**: 0.8012 eV per atom
**Polymorph energy (0 for the lowest one)**: 458 meV/atom
**Energy**: -4.580 eV/atom
**Density**: 6.24 g cm⁻³

# MgW

An optimized crystal structure of MgW (PBE-GGA, the Alexandria database).

Geometry as extended XYZ:
```
8
Lattice="5.166 0.000 0.000 0.000 5.166 0.000 0.000 0.000 5.166" Properties=species:S:1:pos:R:3 pbc="T T T"
Mg 0.506 3.089 4.660
Mg 2.077 2.077 2.077
Mg 4.660 0.506 3.089
Mg 3.089 4.660 0.506
W 2.042 4.625 3.124
W 0.541 0.541 0.541
W 3.124 2.042 4.625
W 4.625 3.124 2.042
```

Results
**Calculated formation energy**: 1.0244 eV per atom
**Polymorph energy (0 for the lowest one)**: 763 meV/atom
**Energy**: -6.250 eV/atom
**Density**: 10.03 g cm⁻³

# MgW

An optimized crystal structure of MgW (PBE-GGA, the Alexandria database).

Geometry as extended XYZ:
```
2
Lattice="5.183 0.001 0.001 4.399 2.740 0.001 4.399 1.259 2.434" Properties=species:S:1:pos:R:3 pbc="T T T"
Mg 6.991 2.000 1.218
W 0.000 0.000 0.000
```

Results
**Calculated formation energy**: 0.5054 eV per atom
**Polymorph energy (0 for the lowest one)**: 244 meV/atom
**Energy**: -6.769 eV/atom
**Density**: 10.01 g cm⁻³

# Mg2W

An optimized crystal structure of Mg2W (PBE-GGA, the Alexandria database).

Geometry as extended XYZ:
```
6
Lattice="0.388 4.743 -5.884 -2.393 -0.529 7.160 2.989 1.095 1.080" Properties=species:S:1:pos:R:3 pbc="T T T"
Mg 1.470 3.366 0.365
Mg -0.486 1.943 1.990
Mg 0.508 1.542 4.878
Mg 0.476 3.767 -2.522
W 2.453 5.228 -4.243
W -1.469 0.080 6.598
```

Results
**Calculated formation energy**: 0.3602 eV per atom
**Polymorph energy (0 for the lowest one)**: 17 meV/atom
**Energy**: -5.021 eV/atom
**Density**: 6.62 g cm⁻³

# MgW

An optimized crystal structure of MgW (PBE-GGA, the Alexandria database).

Geometry as extended XYZ:
```
4
Lattice="-1.301 2.380 -0.730 -1.668 -2.192 -0.548 -3.745 0.652 8.799" Properties=species:S:1:pos:R:3 pbc="T T T"
Mg -1.925 0.335 4.523
Mg -2.368 0.248 1.438
W -3.698 0.643 8.689
W -4.340 0.591 6.070
```

Results
**Calculated formation energy**: 0.2610 eV per atom
**Polymorph energy (0 for the lowest one)**: 0 meV/atom
**Energy**: -7.013 eV/atom
**Density**: 9.71 g cm⁻³

# MgW2

An optimized crystal structure of MgW2 (PBE-GGA, the Alexandria database).

Geometry as extended XYZ:
```
3
Lattice="4.293 0.000 0.000 2.146 3.717 0.000 2.146 1.239 3.505" Properties=species:S:1:pos:R:3 pbc="T T T"
Mg 0.000 0.000 0.000
W 6.439 3.717 2.629
W 2.146 1.239 0.876
```

Results
**Calculated formation energy**: 1.8817 eV per atom
**Polymorph energy (0 for the lowest one)**: 1603 meV/atom
**Energy**: -7.285 eV/atom
**Density**: 11.64 g cm⁻³

# MgW2

An optimized crystal structure of MgW2 (PBE-GGA, the Alexandria database).

Geometry as extended XYZ:
```
3
Lattice="7.268 0.005 0.000 6.268 3.679 0.000 -6.768 -1.842 1.904" Properties=species:S:1:pos:R:3 pbc="T T T"
Mg 4.512 1.228 0.000
W 0.004 0.001 0.000
W 9.020 2.455 0.000
```

Results
**Calculated formation energy**: 0.5235 eV per atom
**Polymorph energy (0 for the lowest one)**: 244 meV/atom
**Energy**: -8.644 eV/atom
**Density**: 12.80 g cm⁻³

| no. | size of the total moment (μB per atom) |
| --- | --- |
| 1 | 0.24 |
| 2 | 0.00 |
| 3 | 0.23 |
| 4 | 0.66 |
| 5 | 0.00 |
| 6 | 0.00 |
| 7 | 0.26 |
| 8 | 0.32 |
| 9 | 0.24 |
| 10 | 0.33 |
| 11 | 0.00 |
| 12 | 0.00 |
| 13 | 0.00 |
| 14 | 0.00 |
| 15 | 0.00 |
| 16 | 0.00 |
| 17 | 0.00 |
| 18 | 0.00 |
| 19 | 0.00 |
| 20 | 0.00 |
| 21 | 0.00 |
| 22 | 0.00 |
| 23 | 0.00 |
| 24 | 0.00 |